Computed, not measured: a relaxed RbIn2Bi2 crystal at the GGA-PBEsol level of DFT.

The structure belongs to space group P4/mbm (No. 127); the cell edges are 9.2923, 9.2923 and 3.6511 Å and the angles 90.00°, 90.00° and 90.00°. Symmetry generates all atoms from Rb at (0.0000, 0.0000, 0.0000), In at (0.1273, 0.3727, 0.0000) and Bi at (0.1655, 0.6655, 0.5000).

Its formation energy is -0.13 eV per atom. The excess energy over the best structure of this formula in the dataset is 0.072 eV per atom.

---

Computed, not measured: a relaxed CoTe2N crystal at the GGA-PBEsol level of DFT.

The structure belongs to space group R-3m (No. 166, hexagonal axes); the cell edges are 3.2229, 3.2229 and 24.1925 Å and the angles 90.00°, 90.00° and 120.00°. Symmetry generates all atoms from Co at (0.0000, 0.0000, 0.0000), Te at (0.0000, 0.0000, 0.0997) and N at (0.0000, 0.0000, 0.5000).

The value obtained for the formation energy (no corrections) is 4.626 eV per formula unit.

---

Computed, not measured: a relaxed YHCO4 crystal at the GGA-PBEsol level of DFT.

The structure belongs to space group P2_12_12_1 (No. 19); the cell edges are 4.7838, 6.9378 and 8.4356 Å and the angles 90.00°, 90.00° and 90.00°. Symmetry generates all atoms from Y at (0.0199, 0.1202, 0.1652), H at (0.1362, 0.2573, 0.4675), C at (0.0067, 0.0472, 0.8311), O at (0.9996, 0.2993, 0.3868), O at (0.0268, 0.4431, 0.7930), O at (0.2026, 0.6115, 0.5885) and O at (0.2425, 0.9201, 0.3818).

For the total energy, the calculation gives -56.16 eV per formula unit.

---

Computed, not measured: a relaxed MnBe2Cr crystal at the GGA-PBEsol level of DFT.

The structure belongs to space group Fm-3m (No. 225); the cell edges are 5.3958, 5.3958 and 5.3958 Å and the angles 90.00°, 90.00° and 90.00°. Symmetry generates all atoms from Mn at (0.0000, 0.0000, 0.0000), Be at (0.2500, 0.2500, 0.2500) and Cr at (0.0000, 0.0000, 0.5000).

Its formation energy is 0.15 eV per atom.

---

Computed, not measured: a relaxed Zr2ScCd crystal at the GGA-PBEsol level of DFT.

The structure belongs to space group P4/mmm (No. 123); the cell edges are 3.1006, 3.1006 and 8.9462 Å and the angles 90.00°, 90.00° and 90.00°. Symmetry generates all atoms from Zr at (0.0000, 0.0000, 0.2460), Sc at (0.5000, 0.5000, 0.5000) and Cd at (0.5000, 0.5000, 0.0000).

Its formation energy is -0.07 eV per atom. The excess energy over the best structure of this formula in the dataset is 0.067 eV per atom.

---

Computed, not measured: a relaxed Te2OsIF crystal at the GGA-PBEsol level of DFT.

The structure belongs to space group P4/mmm (No. 123); the cell edges are 5.0428, 5.0428 and 5.5259 Å and the angles 90.00°, 90.00° and 90.00°. Symmetry generates all atoms from Te at (0.0000, 0.5000, 0.0000), Os at (0.0000, 0.0000, 0.0000), I at (0.0000, 0.0000, 0.5000) and F at (0.5000, 0.5000, 0.5000).

The value obtained for the formation energy (no corrections) is 2.335 eV per formula unit.